i) Material: SrMg2Hg8
Method: DFT, PBE
State: optimized geometry

CIF file:
```
data_SrMg2Hg8
_chemical_formula_sum 'Sr1 Mg2 Hg8'
_space_group_name_H-M_alt 'P 4/m m m'
_space_group_IT_number 123
_space_group_name_Hall '-P 4 2'
_cell_length_a 7.1410
_cell_length_b 7.1410
_cell_length_c 6.3341
_cell_angle_alpha 90.00
_cell_angle_beta 90.00
_cell_angle_gamma 90.00
loop_
_atom_site_label
_atom_site_fract_x
_atom_site_fract_y
_atom_site_fract_z
Sr1 0.0000 0.0000 0.0000
Mg1 0.0000 0.5000 0.5000
Hg1 0.2856 0.2856 0.2478
```

Computed properties:
D(E_F) = 5.9 states/eV per cell
magnetic moment = 0.000 μB/cell

***

ii) Material: SrMg2Hg8
Method: DFT, PBE
State: optimized geometry

CIF file:
```
data_SrMg2Hg8
_chemical_formula_sum 'Sr2 Mg4 Hg16'
_space_group_name_H-M_alt 'C 1 2/m 1'
_space_group_IT_number 12
_cell_length_a 16.0532
_cell_length_b 6.3561
_cell_length_c 5.5711
_cell_angle_alpha 90.00
_cell_angle_beta 96.49
_cell_angle_gamma 90.00
loop_
_space_group_symop_operation_xyz
'x,y,z'
'-x,-y,-z'
'-x,y,-z'
'x,-y,z'
'x+1/2,y+1/2,z'
'-x+1/2,-y+1/2,-z'
'-x+1/2,y+1/2,-z'
'x+1/2,-y+1/2,z'
loop_
_atom_site_label
_atom_site_fract_x
_atom_site_fract_y
_atom_site_fract_z
Sr1 0.0000 0.0000 0.0000
Mg1 0.2437 0.5000 0.3695
Hg1 0.0951 0.5000 0.0163
Hg2 0.0960 0.2498 0.5329
Hg3 0.2127 0.0000 0.1130
```

Computed properties:
D(E_F) = 7.1 states/eV per cell
magnetic moment = 0.000 μB/cell

***

Q: Which of them is the most stable? A: ii).

***

i) Material: SrMg3Hg2
Method: DFT, PBE
State: optimized geometry

CIF file:
```
data_SrMg3Hg2
_chemical_formula_sum 'Sr6 Mg18 Hg12'
_space_group_name_H-M_alt 'C 1 2/m 1'
_space_group_IT_number 12
_cell_length_a 19.0797
_cell_length_b 4.5172
_cell_length_c 11.4575
_cell_angle_alpha 90.00
_cell_angle_beta 106.24
_cell_angle_gamma 90.00
loop_
_space_group_symop_operation_xyz
'x,y,z'
'-x,-y,-z'
'-x,y,-z'
'x,-y,z'
'x+1/2,y+1/2,z'
'-x+1/2,-y+1/2,-z'
'-x+1/2,y+1/2,-z'
'x+1/2,-y+1/2,z'
loop_
_atom_site_label
_atom_site_fract_x
_atom_site_fract_y
_atom_site_fract_z
Sr1 0.0000 0.0000 0.0000
Sr2 0.1560 0.0000 0.7065
Mg1 0.0000 0.5000 0.5000
Mg2 0.0456 0.0000 0.3428
Mg3 0.1249 0.5000 0.2130
Mg4 0.1791 0.5000 0.9752
Mg5 0.2129 0.0000 0.3977
Hg1 0.0374 0.5000 0.7905
Hg2 0.1397 0.5000 0.4729
Hg3 0.2022 0.0000 0.1408
```

Computed properties:
D(E_F) = 18.9 states/eV per cell
magnetic moment = 0.000 μB/cell

***

ii) Material: SrMg3Hg2
Method: DFT, PBE
State: optimized geometry

CIF file:
```
data_SrMg3Hg2
_chemical_formula_sum 'Sr4 Mg12 Hg8'
_space_group_name_H-M_alt 'C 1 2/m 1'
_space_group_IT_number 12
_cell_length_a 17.6719
_cell_length_b 4.5376
_cell_length_c 8.8864
_cell_angle_alpha 90.00
_cell_angle_beta 116.06
_cell_angle_gamma 90.00
loop_
_space_group_symop_operation_xyz
'x,y,z'
'-x,-y,-z'
'-x,y,-z'
'x,-y,z'
'x+1/2,y+1/2,z'
'-x+1/2,-y+1/2,-z'
'-x+1/2,y+1/2,-z'
'x+1/2,-y+1/2,z'
loop_
_atom_site_label
_atom_site_fract_x
_atom_site_fract_y
_atom_site_fract_z
Sr1 0.1465 0.0000 0.0611
Mg1 0.0455 0.0000 0.3849
Mg2 0.0949 0.5000 0.6828
Mg3 0.1856 0.5000 0.4535
Hg1 0.0218 0.5000 0.1750
Hg2 0.2013 0.0000 0.7074
```

Computed properties:
D(E_F) = 12.5 states/eV per cell
magnetic moment = 0.000 μB/cell

***

Q: Which of them is the most stable? A: i).

***

i) Material: SrMg3Hg
Method: DFT, PBE
State: optimized geometry

CIF file:
```
data_SrMg3Hg
_chemical_formula_sum 'Sr1 Mg3 Hg1'
_space_group_name_H-M_alt 'P m -3 m'
_space_group_IT_number 221
_space_group_name_Hall '-P 4 2 3'
_cell_length_a 5.3548
_cell_length_b 5.3548
_cell_length_c 5.3548
_cell_angle_alpha 90.00
_cell_angle_beta 90.00
_cell_angle_gamma 90.00
loop_
_atom_site_label
_atom_site_fract_x
_atom_site_fract_y
_atom_site_fract_z
Sr1 0.0000 0.0000 0.0000
Mg1 0.0000 0.5000 0.5000
Hg1 0.5000 0.5000 0.5000
```

Computed properties:
D(E_F) = 3.1 states/eV per cell
magnetic moment = 0.000 μB/cell

***

ii) Material: SrMg3Hg
Method: DFT, PBE
State: optimized geometry

CIF file:
```
data_SrMg3Hg
_chemical_formula_sum 'Sr2 Mg6 Hg2'
_space_group_name_H-M_alt 'P 63/m m c'
_space_group_IT_number 194
_space_group_name_Hall '-P 6c 2c'
_cell_length_a 7.1928
_cell_length_b 7.1928
_cell_length_c 6.3391
_cell_angle_alpha 90.00
_cell_angle_beta 90.00
_cell_angle_gamma 120.00
loop_
_atom_site_label
_atom_site_fract_x
_atom_site_fract_y
_atom_site_fract_z
Sr1 0.3333 0.6667 0.2500
Mg1 0.1894 0.3787 0.7500
Hg1 0.0000 0.0000 0.0000
```

Computed properties:
D(E_F) = 4.9 states/eV per cell
magnetic moment = 0.000 μB/cell

***

iii) Material: SrMg3Hg
Method: DFT, PBE
State: optimized geometry

CIF file:
```
data_SrMg3Hg
_chemical_formula_sum 'Sr2 Mg6 Hg2'
_space_group_name_H-M_alt 'P 1 21/m 1'
_space_group_IT_number 11
_cell_length_a 6.0612
_cell_length_b 6.4156
_cell_length_c 7.6500
_cell_angle_alpha 90.00
_cell_angle_beta 111.92
_cell_angle_gamma 90.00
loop_
_space_group_symop_operation_xyz
'x,y,z'
'-x,-y,-z'
'-x,y+1/2,-z'
'x,-y+1/2,z'
loop_
_atom_site_label
_atom_site_fract_x
_atom_site_fract_y
_atom_site_fract_z
Sr1 0.2138 0.2500 0.1491
Mg1 0.2176 0.0110 0.6885
Mg2 0.3067 0.7500 0.3840
Hg1 0.3702 0.7500 0.0348
```

Computed properties:
D(E_F) = 4.4 states/eV per cell
magnetic moment = 0.000 μB/cell

***

iv) Material: SrMg3Hg
Method: DFT, PBE
State: optimized geometry

CIF file:
```
data_SrMg3Hg
_chemical_formula_sum 'Sr1 Mg3 Hg1'
_space_group_name_H-M_alt 'P m -3 m'
_space_group_IT_number 221
_space_group_name_Hall '-P 4 2 3'
_cell_length_a 6.8756
_cell_length_b 6.8756
_cell_length_c 6.8756
_cell_angle_alpha 90.00
_cell_angle_beta 90.00
_cell_angle_gamma 90.00
loop_
_atom_site_label
_atom_site_fract_x
_atom_site_fract_y
_atom_site_fract_z
Sr1 0.0000 0.0000 0.0000
Mg1 0.0000 0.0000 0.5000
Hg1 0.5000 0.5000 0.5000
```

Computed properties:
D(E_F) = 6.0 states/eV per cell
magnetic moment = 0.000 μB/cell

***

Q: Which of them is the most stable? A: iii).

***

i) Material: Sr3MgHg
Method: DFT, PBE
State: optimized geometry

CIF file:
```
data_Sr3MgHg
_chemical_formula_sum 'Sr12 Mg4 Hg4'
_space_group_name_H-M_alt 'C m c m'
_space_group_IT_number 63
_space_group_name_Hall '-C 2c 2'
_cell_length_a 5.8095
_cell_length_b 22.5630
_cell_length_c 5.8076
_cell_angle_alpha 90.00
_cell_angle_beta 90.00
_cell_angle_gamma 90.00
loop_
_atom_site_label
_atom_site_fract_x
_atom_site_fract_y
_atom_site_fract_z
Sr1 0.0000 0.0707 0.2500
Sr2 0.0000 0.2498 0.2500
Sr3 0.0000 0.4281 0.2500
Mg1 0.0000 0.1587 0.7500
Hg1 0.0000 0.3423 0.7500
```

Computed properties:
D(E_F) = 16.8 states/eV per cell
magnetic moment = 0.000 μB/cell

***

ii) Material: Sr3MgHg
Method: DFT, PBE
State: optimized geometry

CIF file:
```
data_Sr3MgHg
_chemical_formula_sum 'Sr3 Mg1 Hg1'
_space_group_name_H-M_alt 'P m -3 m'
_space_group_IT_number 221
_space_group_name_Hall '-P 4 2 3'
_cell_length_a 6.2439
_cell_length_b 6.2439
_cell_length_c 6.2439
_cell_angle_alpha 90.00
_cell_angle_beta 90.00
_cell_angle_gamma 90.00
loop_
_atom_site_label
_atom_site_fract_x
_atom_site_fract_y
_atom_site_fract_z
Sr1 0.0000 0.0000 0.5000
Mg1 0.5000 0.5000 0.5000
Hg1 0.0000 0.0000 0.0000
```

Computed properties:
D(E_F) = 6.0 states/eV per cell
magnetic moment = 0.000 μB/cell

***

Q: Which of them is the most stable? A: i).

***

i) Material: SrMgHg6
Method: DFT, PBE
State: optimized geometry

CIF file:
```
data_SrMgHg6
_chemical_formula_sum 'Sr3 Mg3 Hg18'
_space_group_name_H-M_alt 'R -3 m'
_space_group_IT_number 166
_space_group_name_Hall '-R 3 2"'
_cell_length_a 8.8736
_cell_length_b 8.8736
_cell_length_c 10.6991
_cell_angle_alpha 90.00
_cell_angle_beta 90.00
_cell_angle_gamma 120.00
loop_
_atom_site_label
_atom_site_fract_x
_atom_site_fract_y
_atom_site_fract_z
Sr1 0.0000 0.0000 0.0000
Mg1 0.0000 0.0000 0.5000
Hg1 0.0917 0.5458 0.3741
```

Computed properties:
D(E_F) = 16.1 states/eV per cell
magnetic moment = 0.000 μB/cell

***

ii) Material: SrMgHg6
Method: DFT, PBE
State: optimized geometry

CIF file:
```
data_SrMgHg6
_chemical_formula_sum 'Sr1 Mg1 Hg6'
_space_group_name_H-M_alt 'P 4/m m m'
_space_group_IT_number 123
_space_group_name_Hall '-P 4 2'
_cell_length_a 4.6256
_cell_length_b 4.6256
_cell_length_c 10.3401
_cell_angle_alpha 90.00
_cell_angle_beta 90.00
_cell_angle_gamma 90.00
loop_
_atom_site_label
_atom_site_fract_x
_atom_site_fract_y
_atom_site_fract_z
Sr1 0.0000 0.0000 0.0000
Mg1 0.0000 0.0000 0.5000
Hg1 0.0000 0.5000 0.3298
Hg2 0.5000 0.5000 0.1392
```

Computed properties:
D(E_F) = 3.6 states/eV per cell
magnetic moment = 0.000 μB/cell

***

Q: Which of them is the most stable? A: ii).